# 1
{
  "formula": "TlSb2Os",
  "functional": "GGA-PBE",
  "state": "optimized geometry",
  "lattice": [[-4.211, -0.601, -5.578], [-1.993, -0.159, 4.779], [-2.255, 2.591, -0.884]],
  "species": ["Sb", "Os", "Tl", "Sb"],
  "frac_coords": [[0.000, 0.000, 0.000], [0.500, 0.500, 0.000], [0.000, 0.500, 0.500], [0.500, 0.000, 0.500]],
  "de_polymorph_kj_per_mol_atoms": 58.8,
  "raw_formation_energy_ev_per_atom": 0.824
}

# 2
{
  "formula": "PrGaRh3",
  "functional": "GGA-PBE",
  "state": "optimized geometry",
  "lattice": [[5.034, 0.000, 0.000], [0.000, 8.206, -1.991], [0.000, -5.490, 6.416]],
  "species": ["Ga", "Pr", "Rh", "Rh", "Rh", "Rh", "Ga", "Rh", "Pr", "Rh"],
  "frac_coords": [[0.750, 0.861, 0.139], [0.750, 0.587, 0.413], [0.000, 0.000, 0.000], [0.500, 0.000, 0.000], [0.250, 0.998, 0.463], [0.250, 0.537, 0.002], [0.250, 0.139, 0.861], [0.750, 0.002, 0.537], [0.250, 0.413, 0.587], [0.750, 0.463, 0.998]],
  "e_tot_ev_per_cell": -61.23
}

# 3
{
  "formula": "Li2HoZnPd4",
  "functional": "GGA-PBE",
  "state": "optimized geometry",
  "lattice": [[-2.403, 2.210, -3.020], [-2.799, -2.205, -2.661], [-7.155, 0.891, 3.070]],
  "species": ["Li", "Pd", "Li", "Pd", "Zn", "Pd", "Ho", "Pd"],
  "frac_coords": [[0.755, 0.755, 0.734], [0.129, 0.129, 0.614], [0.245, 0.245, 0.266], [0.384, 0.384, 0.846], [0.500, 0.500, 0.500], [0.871, 0.871, 0.386], [0.000, 0.000, 0.000], [0.616, 0.616, 0.154]],
  "e_tot_ev_per_cell": -35.43
}

# 4
{
  "formula": "SrAlTc2",
  "functional": "GGA-PBE",
  "state": "optimized geometry",
  "lattice": [[5.582, 0.001, 0.021], [-2.659, 4.972, -0.037], [0.476, 0.699, 2.613]],
  "species": ["Sr", "Al", "Tc", "Tc"],
  "frac_coords": [[0.500, 0.000, 0.500], [0.500, 0.500, 0.000], [0.000, 0.000, 0.000], [0.000, 0.500, 0.500]],
  "e_tot_ev_per_cell": -23.25
}

# 5
{
  "formula": "Tb2SmHo5",
  "functional": "GGA-PBE",
  "state": "optimized geometry",
  "lattice": [[5.005, 0.000, 0.000], [0.000, 7.094, 0.000], [0.000, 0.000, 14.192]],
  "species": ["Sm", "Ho", "Sm", "Tb", "Ho", "Ho", "Ho", "Ho", "Ho", "Ho", "Tb", "Ho", "Tb", "Tb", "Ho", "Ho"],
  "frac_coords": [[0.000, 0.500, 0.000], [0.000, 0.000, 0.249], [0.000, 0.000, 0.500], [0.500, 0.751, 0.874], [0.000, 0.500, 0.749], [0.500, 0.750, 0.626], [0.500, 0.250, 0.874], [0.000, 0.500, 0.251], [0.000, 0.000, 0.000], [0.000, 0.500, 0.500], [0.500, 0.749, 0.374], [0.500, 0.750, 0.126], [0.500, 0.251, 0.626], [0.500, 0.249, 0.126], [0.500, 0.250, 0.374], [0.000, 0.000, 0.751]],
  "de_polymorph_kj_per_mol_atoms": 0.0
}

# 6
{
  "formula": "NaAcAg2Sb2",
  "functional": "GGA-PBE",
  "state": "optimized geometry",
  "lattice": [[4.808, 0.000, 0.000], [-2.404, 4.164, 0.000], [0.000, 0.000, 8.079]],
  "species": ["Ac", "Sb", "Ag", "Ag", "Sb", "Na"],
  "frac_coords": [[0.000, 0.000, 0.000], [0.333, 0.667, 0.250], [0.667, 0.333, 0.294], [0.333, 0.667, 0.706], [0.667, 0.333, 0.750], [0.000, 0.000, 0.500]],
  "raw_formation_energy_ev_per_atom": -0.573
}

# 7
{
  "formula": "KBeSe",
  "functional": "GGA-PBE",
  "state": "optimized geometry",
  "lattice": [[-5.867, 0.558, 2.347], [-5.057, -2.777, 2.642], [0.387, 0.390, 3.401]],
  "species": ["Be", "K", "Se"],
  "frac_coords": [[0.061, 0.061, 0.939], [0.331, 0.331, 0.669], [0.608, 0.608, 0.392]],
  "de_polymorph_kj_per_mol_atoms": 54.2,
  "raw_formation_energy_ev_per_atom": -0.077
}

# 8
{
  "formula": "CsPaI6",
  "functional": "GGA-PBE",
  "state": "optimized geometry",
  "lattice": [[7.549, 1.120, -1.467], [-3.010, 7.013, -1.467], [-0.023, -0.042, 7.689]],
  "species": ["I", "Pa", "Cs", "I", "I", "I", "I", "I"],
  "frac_coords": [[0.436, 0.780, 0.781], [0.500, 0.500, 0.500], [0.000, 0.000, 0.000], [0.780, 0.436, 0.781], [0.220, 0.220, 0.573], [0.564, 0.220, 0.219], [0.220, 0.564, 0.219], [0.780, 0.780, 0.427]],
  "de_polymorph_kj_per_mol_atoms": 0.0,
  "raw_formation_energy_ev_per_atom": -1.121
}

# 9
{
  "formula": "CoSiTc2",
  "functional": "GGA-PBE",
  "state": "optimized geometry",
  "lattice": [[3.829, 0.000, 0.000], [0.000, 2.714, -0.003], [0.000, 1.789, 5.067]],
  "species": ["Si", "Co", "Tc", "Tc"],
  "frac_coords": [[0.500, 0.750, 0.750], [0.500, 0.250, 0.250], [0.000, 0.920, 0.999], [0.000, 0.580, 0.501]],
  "raw_formation_energy_ev_per_atom": -0.036
}